[1]
DFT (PBE-GGA) results for an optimized crystal structure of KSr2Ni2.

Cell: 8.3683 8.3683 4.3051 Å, 90.00 90.00 90.00°
Fractional positions:
1 Sr 0.8390 0.3390 0.5000
2 Sr 0.6610 0.8390 0.5000
3 Sr 0.3390 0.1610 0.5000
4 Sr 0.1610 0.6610 0.5000
5 Ni 0.9010 0.5990 0.0000
6 Ni 0.4010 0.9010 0.0000
7 Ni 0.5990 0.0990 0.0000
8 Ni 0.0990 0.4010 0.0000
9 K 0.0000 0.0000 0.0000
10 K 0.5000 0.5000 0.0000

Results
The value obtained for the total energy is -2.994 eV per atom. The formation energy comes out at 1.1 eV/f.u.

[2]
DFT (PBE-GGA) results for an optimized crystal structure of K2SrNi.

Cell: 5.9099 5.9099 5.9099 Å, 119.93 119.93 90.12°
Fractional positions:
1 Ni 0.5000 0.5000 0.0000
2 Sr 0.7500 0.2500 0.5000
3 K 0.2500 0.7500 0.5000
4 K 0.0000 0.0000 0.0000

Results
The value obtained for the total energy is -1.899 eV per atom. The formation energy comes out at 2.1 eV/f.u.

[3]
DFT (PBE-GGA) results for an optimized crystal structure of K2SrNi.

Cell: 7.2571 7.2571 7.2571 Å, 140.71 140.71 56.77°
Fractional positions:
1 Sr 0.7500 0.2500 0.5000
2 Ni 0.2500 0.7500 0.5000
3 K 0.0000 0.0000 0.0000
4 K 0.5000 0.5000 0.0000

Results
The value obtained for the total energy is -1.891 eV per atom. The formation energy comes out at 2.1 eV/f.u.

[4]
DFT (PBE-GGA) results for an optimized crystal structure of K2SrNi.

Cell: 11.1921 11.1921 8.4328 Å, 48.42 48.42 90.00°
Fractional positions:
1 Ni 0.5000 0.5000 0.0000
2 Ni 0.2500 0.7500 0.5000
3 Sr 0.7500 0.2500 0.5000
4 Sr 0.0000 0.0000 0.0000
5 K 0.5072 0.1250 0.2500
6 K 0.3750 0.4928 0.7500
7 K 0.8750 0.7572 0.7500
8 K 0.2428 0.6250 0.2500

Results
The value obtained for the total energy is -1.931 eV per atom. The formation energy comes out at 1.9 eV/f.u.

[5]
DFT (PBE-GGA) results for an optimized crystal structure of K3SrNi.

Cell: 6.3777 6.3777 6.3777 Å, 90.00 90.00 90.00°
Fractional positions:
1 K 0.5000 0.0000 0.0000
2 K 0.0000 0.0000 0.5000
3 K 0.0000 0.5000 0.0000
4 Sr 0.5000 0.5000 0.5000
5 Ni 0.0000 0.0000 0.0000

Results
The value obtained for the total energy is -1.627 eV per atom. The formation energy comes out at 2.6 eV/f.u.

[6]
DFT (PBE-GGA) results for an optimized crystal structure of KSrTl2Ni.

Cell: 5.3077 5.3077 5.5209 Å, 90.00 90.00 90.00°
Fractional positions:
1 Sr 0.0000 0.0000 0.5000
2 Ni 0.0000 0.0000 0.0000
3 Tl 0.5000 0.0000 0.0000
4 Tl 0.0000 0.5000 0.0000
5 K 0.5000 0.5000 0.5000

Results
The value obtained for the total energy is -2.690 eV per atom. The formation energy comes out at -0.2 eV/f.u.

[7]
DFT (PBE-GGA) results for an optimized crystal structure of KSrTl2Ni.

Cell: 5.2250 5.6306 5.2250 Å, 90.00 90.00 90.00°
Fractional positions:
1 K 0.0000 0.5000 0.0000
2 Tl 0.5000 0.0000 0.0000
3 Tl 0.0000 0.0000 0.5000
4 Ni 0.0000 0.0000 0.0000
5 Sr 0.5000 0.5000 0.5000

Results
The value obtained for the total energy is -2.563 eV per atom. The formation energy comes out at 0.5 eV/f.u.

[8]
DFT (PBE-GGA) results for an optimized crystal structure of KSr2NiW.

Cell: 5.9753 4.5121 5.9753 Å, 90.00 90.00 90.00°
Site moments in Bohr magnetons follow the coordinates.
Fractional positions:
1 W 0.5000 0.5000 0.5000  2.75
2 K 0.0000 0.0000 0.0000  -0.04
3 Sr 0.5000 0.0000 0.0000  -0.01
4 Sr 0.0000 0.0000 0.5000  -0.01
5 Ni 0.0000 0.5000 0.0000  0.07

Results
The value obtained for the total energy is -2.729 eV per atom. The formation energy comes out at 9.5 eV/f.u.

[9]
DFT (PBE-GGA) results for an optimized crystal structure of KSr2ZnNi.

Cell: 5.8793 5.8793 4.9918 Å, 90.00 90.00 90.00°
Fractional positions:
1 Sr 0.5000 0.0000 0.0000
2 Sr 0.0000 0.5000 0.0000
3 Zn 0.0000 0.0000 0.5000
4 Ni 0.0000 0.0000 0.0000
5 K 0.5000 0.5000 0.5000

Results
The value obtained for the total energy is -2.234 eV per atom. The formation energy comes out at 0.3 eV/f.u.

[10]
DFT (PBE-GGA) results for an optimized crystal structure of K4TaNi.

Cell: 6.8516 6.8516 6.8516 Å, 60.00 60.00 60.00°
Site moments in Bohr magnetons follow the coordinates.
Fractional positions:
1 K 0.3752 0.3752 0.3752  0.02
2 K 0.8743 0.3752 0.3752  0.02
3 K 0.3752 0.8743 0.3752  0.02
4 K 0.3752 0.3752 0.8743  0.02
5 Ni 0.7500 0.7500 0.7500  0.71
6 Ta 0.0000 0.0000 0.0000  2.27

Results
The value obtained for the total energy is -2.111 eV per atom. The formation energy comes out at 9.4 eV/f.u.

[11]
DFT (PBE-GGA) results for an optimized crystal structure of KTa3Ni.

Cell: 4.7955 4.7955 4.7955 Å, 90.00 90.00 90.00°
Fractional positions:
1 K 0.5000 0.5000 0.5000
2 Ta 0.5000 0.0000 0.0000
3 Ta 0.0000 0.5000 0.0000
4 Ta 0.0000 0.0000 0.5000
5 Ni 0.0000 0.0000 0.0000

Results
The value obtained for the total energy is -7.069 eV per atom. The formation energy comes out at 7.1 eV/f.u.

[12]
DFT (PBE-GGA) results for an optimized crystal structure of KTa3Ni.

Cell: 4.5604 4.5604 4.5604 Å, 90.00 90.00 90.00°
Site moments in Bohr magnetons follow the coordinates.
Fractional positions:
1 Ta 0.0000 0.0000 0.5000  0.19
2 Ta 0.0000 0.5000 0.0000  0.13
3 Ta 0.5000 0.0000 0.0000  0.13
4 K 0.0000 0.0000 0.0000  0.08
5 Ni 0.5000 0.5000 0.5000  0.39

Results
The value obtained for the total energy is -5.353 eV per atom. The formation energy comes out at 15.7 eV/f.u.

[13]
DFT (PBE-GGA) results for an optimized crystal structure of KTaNi4.

Cell: 4.9463 4.9463 4.9463 Å, 60.00 60.00 60.00°
Fractional positions:
1 Ta 0.7500 0.7500 0.7500
2 Ni 0.3759 0.8722 0.3759
3 Ni 0.3759 0.3759 0.8722
4 Ni 0.3759 0.3759 0.3759
5 Ni 0.8722 0.3759 0.3759
6 K 0.0000 0.0000 0.0000

Results
The value obtained for the total energy is -5.529 eV per atom. The formation energy comes out at 2.9 eV/f.u.

[14]
DFT (PBE-GGA) results for an optimized crystal structure of KTaNiTe3.

Cell: 3.8882 9.1267 10.8188 Å, 117.53 90.00 90.00°
Fractional positions:
1 Te 0.7500 0.2308 0.5456
2 Te 0.2500 0.0819 0.8405
3 Te 0.7500 0.9181 0.1595
4 Te 0.7500 0.4558 0.1189
5 Te 0.2500 0.5442 0.8811
6 Te 0.2500 0.7692 0.4544
7 K 0.2500 0.2832 0.2846
8 K 0.7500 0.7168 0.7154
9 Ni 0.2500 0.0917 0.6087
10 Ni 0.7500 0.9083 0.3913
11 Ta 0.2500 0.7173 0.1878
12 Ta 0.7500 0.2827 0.8122

Results
The value obtained for the total energy is -5.214 eV per atom. The uncorrected formation energy is -0.52 eV per atom.

[15]
DFT (PBE-GGA) results for an optimized crystal structure of KTb2Ni.

Cell: 4.0147 4.0147 11.2226 Å, 79.70 79.70 60.00°
Fractional positions:
1 Tb 0.8754 0.8754 0.3737
2 Tb 0.1246 0.1246 0.6263
3 Ni 0.5000 0.5000 0.5000
4 K 0.0000 0.0000 0.0000

Results
The value obtained for the total energy is -4.031 eV per atom. The formation energy comes out at 0.0 eV/f.u.